No. 1
Material: CuNi2IrO6
Method: DFT, PBE with a Hubbard U
State: optimized geometry Values from VASP.

Structure (Quantum ESPRESSO input):
```
&SYSTEM
  ibrav = 0, nat = 10, ntyp = 4
/
ATOMIC_SPECIES
Cu 63.55 Cu.upf
Ni 58.69 Ni.upf
Ir 192.22 Ir.upf
O 16.00 O.upf
CELL_PARAMETERS angstrom
2.557 1.477 4.573
-2.557 1.477 4.573
0.000 -2.953 4.573
ATOMIC_POSITIONS crystal
Cu 0.000 0.000 0.000
Ni 0.206 0.206 0.206
Ni 0.711 0.711 0.711
Ir 0.510 0.510 0.510
O 0.125 0.411 0.788
O 0.307 0.902 0.606
O 0.411 0.788 0.125
O 0.606 0.307 0.902
O 0.788 0.125 0.411
O 0.902 0.606 0.307
```

The calculation puts the total energy at -5.54 eV/atom. As for the space group: No. 146.

***

No. 2
Material: Cu2NiIrO8
Method: DFT, PBE with a Hubbard U
State: optimized geometry Values from VASP.

Structure (Quantum ESPRESSO input):
```
&SYSTEM
  ibrav = 0, nat = 12, ntyp = 4
/
ATOMIC_SPECIES
Cu 63.55 Cu.upf
Ni 58.69 Ni.upf
Ir 192.22 Ir.upf
O 16.00 O.upf
CELL_PARAMETERS angstrom
-3.121 3.121 3.358
3.121 -3.121 3.358
3.121 3.121 -3.358
ATOMIC_POSITIONS crystal
Cu 0.000 0.000 0.000
Cu 0.750 0.250 0.500
Ni 0.250 0.750 0.500
Ir 0.500 0.500 0.000
O 0.154 0.449 0.704
O 0.222 0.040 0.818
O 0.222 0.405 0.182
O 0.551 0.255 0.704
O 0.551 0.846 0.296
O 0.595 0.778 0.818
O 0.745 0.449 0.296
O 0.960 0.778 0.182
```

The calculation puts the total energy at -5.06 eV/atom. As for the space group: No. 119.

***

No. 3
Material: CuNiIrO5
Method: DFT, PBE with a Hubbard U
State: optimized geometry Values from VASP.

Structure (Quantum ESPRESSO input):
```
&SYSTEM
  ibrav = 0, nat = 16, ntyp = 4
/
ATOMIC_SPECIES
Cu 63.55 Cu.upf
Ni 58.69 Ni.upf
Ir 192.22 Ir.upf
O 16.00 O.upf
CELL_PARAMETERS angstrom
2.717 -4.506 0.000
2.717 4.506 0.000
-0.937 0.000 6.865
ATOMIC_POSITIONS crystal
Cu 0.169 0.831 0.750
Cu 0.831 0.169 0.250
Ni 0.158 0.842 0.250
Ni 0.842 0.158 0.750
Ir 0.500 0.500 0.000
Ir 0.500 0.500 0.500
O 0.076 0.274 0.499
O 0.168 0.503 0.880
O 0.274 0.076 0.999
O 0.395 0.605 0.250
O 0.497 0.832 0.620
O 0.503 0.168 0.380
O 0.605 0.395 0.750
O 0.726 0.924 0.001
O 0.832 0.497 0.120
O 0.924 0.726 0.501
```

The calculation puts the total energy at -5.61 eV/atom. As for the space group: No. 15.